1.
VASP calculation (PBE) on crystalline AlV12Au3 at its relaxed geometry.

Calculated values
ΔE_f: -0.077 eV per atom
N(E_F): 26.70 states/eV per cell
VASP energy: -7.765 eV/atom
magnetic moment: 3.3 μB per cell

Cell lengths 4.857, 4.860, 9.722 Å; angles 90.00, 90.00, 90.00 degrees
Site moments in Bohr magnetons follow the coordinates.
Element x y z (fractional)
1 Al 0.000 0.000 0.500  -0.01
2 V 0.500 0.000 0.374  0.21
3 V 0.500 0.000 0.878  0.17
4 V 0.748 0.500 0.000  0.28
5 V 0.756 0.500 0.500  0.21
6 V 0.000 0.751 0.256  0.24
7 V 0.000 0.751 0.744  0.24
8 V 0.500 0.000 0.122  0.17
9 V 0.500 0.000 0.626  0.21
10 V 0.252 0.500 0.000  0.28
11 V 0.244 0.500 0.500  0.21
12 V 0.000 0.249 0.256  0.24
13 V 0.000 0.249 0.744  0.24
14 Au 0.500 0.500 0.250  0.04
15 Au 0.500 0.500 0.750  0.04
16 Au 0.000 0.000 0.000  0.02

***

2.
VASP calculation (PBE) on crystalline AlV9Au2 at its relaxed geometry.

Calculated values
ΔE_f: -0.088 eV per atom
N(E_F): 40.63 states/eV per cell
VASP energy: -7.785 eV/atom
magnetic moment: 4.6 μB per cell

Cell lengths 4.851, 4.857, 14.555 Å; angles 90.00, 90.00, 90.00 degrees
Site moments in Bohr magnetons follow the coordinates.
Element x y z (fractional)
1 Al 0.500 0.500 0.835  -0.01
2 Al 0.500 0.500 0.165  -0.01
3 V 0.000 0.500 0.918  0.26
4 V 0.000 0.500 0.249  0.16
5 V 0.000 0.500 0.581  0.14
6 V 0.500 0.252 0.671  0.23
7 V 0.500 0.253 0.000  0.23
8 V 0.500 0.252 0.329  0.23
9 V 0.744 0.000 0.834  0.22
10 V 0.744 0.000 0.166  0.22
11 V 0.753 0.000 0.500  0.19
12 V 0.000 0.500 0.751  0.16
13 V 0.000 0.500 0.082  0.26
14 V 0.000 0.500 0.419  0.14
15 V 0.500 0.748 0.671  0.23
16 V 0.500 0.747 0.000  0.23
17 V 0.500 0.748 0.329  0.23
18 V 0.256 0.000 0.834  0.22
19 V 0.256 0.000 0.166  0.22
20 V 0.247 0.000 0.500  0.19
21 Au 0.500 0.500 0.500  0.01
22 Au 0.000 0.000 0.667  0.04
23 Au 0.000 0.000 0.000  0.05
24 Au 0.000 0.000 0.333  0.04

***

3.
VASP calculation (PBE) on crystalline Al3V4Au at its relaxed geometry.

Calculated values
ΔE_f: -0.190 eV per atom
N(E_F): 9.00 states/eV per cell
VASP energy: -6.562 eV/atom
magnetic moment: 0.0 μB per cell

Cell lengths 4.230, 4.447, 6.939 Å; angles 108.70, 107.75, 90.00 degrees
Element x y z (fractional)
1 Au 0.500 0.000 0.000
2 Al 0.000 0.500 0.000
3 Al 0.864 0.864 0.728
4 Al 0.136 0.136 0.272
5 V 0.756 0.256 0.511
6 V 0.244 0.744 0.489
7 V 0.364 0.364 0.728
8 V 0.636 0.636 0.272

***

4.
VASP calculation (PBE) on crystalline Al2V2Au at its relaxed geometry.

Calculated values
E above lowest polymorph: 0.000 eV/atom
ΔE_f: -0.044 eV per atom
N(E_F): 8.79 states/eV per cell
VASP energy: -5.844 eV/atom
magnetic moment: 0.0 μB per cell

Cell lengths 6.590, 6.590, 3.502 Å; angles 90.00, 90.00, 90.00 degrees
Element x y z (fractional)
1 Au 0.000 0.000 0.000
2 Au 0.500 0.500 0.000
3 Al 0.368 0.868 0.000
4 Al 0.868 0.632 0.000
5 Al 0.632 0.132 0.000
6 Al 0.132 0.368 0.000
7 V 0.167 0.667 0.500
8 V 0.667 0.833 0.500
9 V 0.833 0.333 0.500
10 V 0.333 0.167 0.500

***

5.
VASP calculation (PBE) on crystalline AlV4Au at its relaxed geometry.

Calculated values
ΔE_f: -0.061 eV per atom
N(E_F): 7.92 states/eV per cell
VASP energy: -7.310 eV/atom
magnetic moment: 0.0 μB per cell

Cell lengths 4.435, 4.416, 5.004 Å; angles 90.00, 116.31, 90.00 degrees
Element x y z (fractional)
1 Al 0.500 0.500 0.000
2 V 0.324 0.000 0.648
3 V 0.676 0.000 0.352
4 V 0.810 0.500 0.621
5 V 0.190 0.500 0.379
6 Au 0.000 0.000 0.000

***

6.
VASP calculation (PBE) on crystalline AlV3Au at its relaxed geometry.

Calculated values
E above lowest polymorph: 0.000 eV/atom
ΔE_f: 1.146 eV per atom
N(E_F): 4.06 states/eV per cell
VASP energy: -5.729 eV/atom
magnetic moment: 1.7 μB per cell

Cell lengths 4.449, 4.449, 4.449 Å; angles 90.00, 90.00, 90.00 degrees
Site moments in Bohr magnetons follow the coordinates.
Element x y z (fractional)
1 Au 0.500 0.500 0.500  0.02
2 Al 0.000 0.000 0.000  -0.02
3 V 0.000 0.500 0.000  0.51
4 V 0.000 0.000 0.500  0.51
5 V 0.500 0.000 0.000  0.51

***

7.
VASP calculation (PBE) on crystalline Al2VAu8 at its relaxed geometry.

Calculated values
ΔE_f: -0.118 eV per atom
N(E_F): 6.41 states/eV per cell
VASP energy: -4.011 eV/atom
magnetic moment: 2.7 μB per cell

Cell lengths 4.781, 6.275, 7.572 Å; angles 113.02, 106.28, 94.98 degrees
Site moments in Bohr magnetons follow the coordinates.
Element x y z (fractional)
1 Al 0.759 0.607 0.229  0.00
2 Al 0.445 0.290 0.592  0.00
3 V 0.115 0.912 0.908  2.28
4 Au 0.760 0.250 0.910  0.01
5 Au 0.947 0.009 0.564  0.01
6 Au 0.290 0.351 0.255  0.01
7 Au 0.721 0.991 0.139  0.01
8 Au 0.283 0.857 0.290  0.00
9 Au 0.903 0.474 0.527  0.00
10 Au 0.287 0.499 0.909  0.03
11 Au 0.491 0.761 0.677  0.01

***

8.
VASP calculation (PBE) on crystalline AlVZnAu at its relaxed geometry.

Calculated values
ΔE_f: -0.098 eV per atom
N(E_F): 1.24 states/eV per cell
VASP energy: -4.451 eV/atom
magnetic moment: 2.7 μB per cell

Cell lengths 4.432, 4.432, 4.432 Å; angles 60.00, 60.00, 60.00 degrees
Site moments in Bohr magnetons follow the coordinates.
Element x y z (fractional)
1 Zn 0.000 0.000 0.000  0.02
2 Au 0.250 0.250 0.250  -0.01
3 Al 0.500 0.500 0.500  0.00
4 V 0.750 0.750 0.750  2.27

***

9.
VASP calculation (PBE) on crystalline ZrAlV2Au at its relaxed geometry.

Calculated values
E above lowest polymorph: 0.000 eV/atom
ΔE_f: 1.076 eV per atom
N(E_F): 9.32 states/eV per cell
VASP energy: -5.685 eV/atom
magnetic moment: 4.0 μB per cell

Cell lengths 4.814, 5.171, 4.814 Å; angles 90.00, 90.00, 90.00 degrees
Site moments in Bohr magnetons follow the coordinates.
Element x y z (fractional)
1 Au 0.000 0.000 0.000  0.02
2 Al 0.500 0.500 0.500  -0.04
3 Zr 0.000 0.500 0.000  -0.31
4 V 0.000 0.000 0.500  1.77
5 V 0.500 0.000 0.000  2.17

***

10.
VASP calculation (PBE) on crystalline ZrAlV2Au at its relaxed geometry.

Calculated values
E above lowest polymorph: 0.348 eV/atom
ΔE_f: 1.425 eV per atom
N(E_F): 4.14 states/eV per cell
VASP energy: -5.337 eV/atom
magnetic moment: 0.0 μB per cell

Cell lengths 4.626, 4.626, 5.206 Å; angles 90.00, 90.00, 90.00 degrees
Element x y z (fractional)
1 Au 0.000 0.000 0.500
2 Al 0.500 0.500 0.500
3 Zr 0.000 0.000 0.000
4 V 0.000 0.500 0.000
5 V 0.500 0.000 0.000

***

11.
VASP calculation (PBE) on crystalline AlWAu at its relaxed geometry.

Calculated values
E above lowest polymorph: 0.163 eV/atom
ΔE_f: 0.228 eV per atom
N(E_F): 3.04 states/eV per cell
VASP energy: -6.430 eV/atom
magnetic moment: 0.3 μB per cell

Cell lengths 4.435, 4.435, 2.864 Å; angles 90.00, 90.00, 120.00 degrees
Site moments in Bohr magnetons follow the coordinates.
Element x y z (fractional)
1 Au 0.333 0.667 0.167  0.03
2 Al 0.000 0.000 0.166  0.00
3 W 0.667 0.333 0.667  0.26

***

12.
VASP calculation (PBE) on crystalline AlWAu at its relaxed geometry.

Calculated values
E above lowest polymorph: 0.633 eV/atom
ΔE_f: 0.698 eV per atom
N(E_F): 2.39 states/eV per cell
VASP energy: -5.960 eV/atom
magnetic moment: 1.9 μB per cell

Cell lengths 4.342, 4.342, 4.342 Å; angles 60.00, 60.00, 60.00 degrees
Site moments in Bohr magnetons follow the coordinates.
Element x y z (fractional)
1 Au 0.750 0.750 0.750  0.14
2 Al 0.500 0.500 0.500  -0.02
3 W 0.000 0.000 0.000  1.43

***

13.
VASP calculation (PBE) on crystalline AlWAu at its relaxed geometry.

Calculated values
E above lowest polymorph: 0.000 eV/atom
ΔE_f: 0.065 eV per atom
N(E_F): 1.29 states/eV per cell
VASP energy: -6.593 eV/atom
magnetic moment: 0.0 μB per cell

Cell lengths 6.497, 6.497, 6.497 Å; angles 155.16, 155.16, 35.41 degrees
Element x y z (fractional)
1 Au 0.338 0.338 0.000
2 Al 0.002 0.002 0.000
3 W 0.660 0.660 0.000

***

14.
VASP calculation (PBE) on crystalline AlWAu at its relaxed geometry.

Calculated values
E above lowest polymorph: 0.005 eV/atom
ΔE_f: 0.070 eV per atom
N(E_F): 0.62 states/eV per cell
VASP energy: -6.588 eV/atom
magnetic moment: 0.0 μB per cell

Cell lengths 6.706, 6.594, 2.790 Å; angles 80.14, 75.65, 24.20 degrees
Element x y z (fractional)
1 Au 0.338 0.338 0.662
2 Al 0.002 0.002 0.998
3 W 0.659 0.659 0.341

***

15.
VASP calculation (PBE) on crystalline AlWAu at its relaxed geometry.

Calculated values
E above lowest polymorph: 0.004 eV/atom
ΔE_f: 0.068 eV per atom
N(E_F): 1.12 states/eV per cell
VASP energy: -6.589 eV/atom
magnetic moment: 0.0 μB per cell

Cell lengths 2.868, 2.868, 6.859 Å; angles 90.00, 90.00, 120.00 degrees
Element x y z (fractional)
1 Au 0.333 0.667 0.324
2 Al 0.000 0.000 0.998
3 W 0.667 0.333 0.678

***

16.
VASP calculation (PBE) on crystalline Al2W2Au at its relaxed geometry.

Calculated values
E above lowest polymorph: 0.301 eV/atom
ΔE_f: 0.568 eV per atom
N(E_F): 2.31 states/eV per cell
VASP energy: -6.766 eV/atom
magnetic moment: 0.0 μB per cell

Cell lengths 3.648, 3.648, 6.999 Å; angles 74.89, 74.89, 90.00 degrees
Element x y z (fractional)
1 Au 0.000 0.000 0.000
2 Al 0.750 0.250 0.500
3 Al 0.250 0.750 0.500
4 W 0.403 0.403 0.193
5 W 0.597 0.597 0.807

***

17.
VASP calculation (PBE) on crystalline AlW3Au at its relaxed geometry.

Calculated values
E above lowest polymorph: 0.777 eV/atom
ΔE_f: 2.599 eV per atom
N(E_F): 7.58 states/eV per cell
VASP energy: -6.577 eV/atom
magnetic moment: 0.0 μB per cell

Cell lengths 4.834, 4.834, 4.834 Å; angles 90.00, 90.00, 90.00 degrees
Element x y z (fractional)
1 Au 0.000 0.000 0.000
2 Al 0.500 0.500 0.500
3 W 0.000 0.500 0.000
4 W 0.000 0.000 0.500
5 W 0.500 0.000 0.000

***

18.
VASP calculation (PBE) on crystalline AlW4Au at its relaxed geometry.

Calculated values
ΔE_f: 0.613 eV per atom
N(E_F): 6.90 states/eV per cell
VASP energy: -9.193 eV/atom
magnetic moment: 0.0 μB per cell

Cell lengths 5.298, 5.298, 5.298 Å; angles 60.00, 60.00, 60.00 degrees
Element x y z (fractional)
1 Al 0.750 0.750 0.750
2 W 0.874 0.375 0.375
3 W 0.375 0.375 0.874
4 W 0.375 0.874 0.375
5 W 0.375 0.375 0.375
6 Au 0.000 0.000 0.000

***

19.
VASP calculation (PBE) on crystalline AlW3Au at its relaxed geometry.

Calculated values
E above lowest polymorph: 0.000 eV/atom
ΔE_f: 1.822 eV per atom
N(E_F): 5.59 states/eV per cell
VASP energy: -7.354 eV/atom
magnetic moment: 0.0 μB per cell

Cell lengths 4.523, 4.523, 4.523 Å; angles 90.00, 90.00, 90.00 degrees
Element x y z (fractional)
1 Au 0.500 0.500 0.500
2 Al 0.000 0.000 0.000
3 W 0.000 0.500 0.000
4 W 0.000 0.000 0.500
5 W 0.500 0.000 0.000

***

20.
VASP calculation (PBE) on crystalline Al2W2Au at its relaxed geometry.

Calculated values
E above lowest polymorph: 0.000 eV/atom
ΔE_f: 0.267 eV per atom
N(E_F): 6.98 states/eV per cell
VASP energy: -7.067 eV/atom
magnetic moment: 0.0 μB per cell

Cell lengths 7.317, 7.317, 3.186 Å; angles 90.00, 90.00, 90.00 degrees
Element x y z (fractional)
1 Au 0.000 0.000 0.000
2 Au 0.500 0.500 0.000
3 Al 0.179 0.679 0.500
4 Al 0.679 0.821 0.500
5 Al 0.821 0.321 0.500
6 Al 0.321 0.179 0.500
7 W 0.383 0.883 0.000
8 W 0.883 0.617 0.000
9 W 0.617 0.117 0.000
10 W 0.117 0.383 0.000